1.
# ScGa3Br PBE-GGA optimized geometry
data_ScGa3Br
_symmetry_space_group_name_H-M 'P m -3 m'
_symmetry_Int_Tables_number 221
_symmetry_space_group_name_Hall '-P 4 2 3'
_cell_length_a 5.487
_cell_length_b 5.487
_cell_length_c 5.487
_cell_angle_alpha 90.00
_cell_angle_beta 90.00
_cell_angle_gamma 90.00
loop_
_atom_site_label
_atom_site_type_symbol
_atom_site_fract_x
_atom_site_fract_y
_atom_site_fract_z
_atom_site_occupancy
Sc1 Sc 0.000 0.000 0.000 1
Ga1 Ga 0.000 0.000 0.500 1
Br1 Br 0.500 0.500 0.500 1
# Energy relative to the lowest polymorph listed for this composition, meV per atom: 0
# VASP energy, eV per atom: -3.0300
# Uncorrected formation energy, meV/atom: 387

***

2.
# CeHoSc2S4 PBE-GGA optimized geometry
data_CeHoSc2S4
_symmetry_space_group_name_H-M 'P 1 2/m 1'
_symmetry_Int_Tables_number 10
_symmetry_space_group_name_Hall '-P 2y'
_cell_length_a 6.621
_cell_length_b 3.800
_cell_length_c 6.653
_cell_angle_alpha 90.00
_cell_angle_beta 109.17
_cell_angle_gamma 90.00
loop_
_atom_site_label
_atom_site_type_symbol
_atom_site_fract_x
_atom_site_fract_y
_atom_site_fract_z
_atom_site_occupancy
Ce1 Ce 0.000 0.000 0.000 1
Ho1 Ho 0.500 0.500 0.000 1
Sc1 Sc 0.000 0.500 0.500 1
Sc2 Sc 0.500 0.000 0.500 1
S1 S 0.250 0.000 0.732 1
S2 S 0.263 0.500 0.272 1
# VASP energy, eV per atom: -6.8878
# Uncorrected formation energy, meV/atom: -1927

***

3.
# ScTl2SbTe4 PBE-GGA optimized geometry
data_ScTl2SbTe4
_symmetry_space_group_name_H-M 'P 1 2/m 1'
_symmetry_Int_Tables_number 10
_symmetry_space_group_name_Hall '-P 2y'
_cell_length_a 7.629
_cell_length_b 4.379
_cell_length_c 8.409
_cell_angle_alpha 90.00
_cell_angle_beta 107.37
_cell_angle_gamma 90.00
loop_
_atom_site_label
_atom_site_type_symbol
_atom_site_fract_x
_atom_site_fract_y
_atom_site_fract_z
_atom_site_occupancy
Sc1 Sc 0.000 0.000 0.000 1
Tl1 Tl 0.000 0.500 0.500 1
Tl2 Tl 0.500 0.000 0.500 1
Sb1 Sb 0.500 0.500 0.000 1
Te1 Te 0.226 0.500 0.204 1
Te2 Te 0.252 0.000 0.790 1
# VASP energy, eV per atom: -4.0460
# Uncorrected formation energy, meV/atom: -577

***

4.
# FeCuTc PBE-GGA optimized geometry
data_FeCuTc
_symmetry_space_group_name_H-M 'P 3 m 1'
_symmetry_Int_Tables_number 156
_symmetry_space_group_name_Hall 'P 3 -2"'
_cell_length_a 4.1814
_cell_length_b 4.1814
_cell_length_c 2.5164
_cell_angle_alpha 90.00
_cell_angle_beta 90.00
_cell_angle_gamma 120.00
loop_
_atom_site_label
_atom_site_type_symbol
_atom_site_fract_x
_atom_site_fract_y
_atom_site_fract_z
_atom_site_occupancy
Fe1 Fe 0.0000 0.0000 0.0000 1
Cu1 Cu 0.3333 0.6667 0.7652 1
Tc1 Tc 0.6667 0.3333 0.3171 1
# Energy relative to the lowest polymorph listed for this composition, meV per atom: 0
# Calculated formation energy, eV/f.u.: 0.597
# VASP energy, eV per atom: -7.4427